Record 1
A relaxed structure of GePb4, computed with PBE.

Structure (POSCAR):
```
GePb4
1.0
-2.556 -2.122 -4.481
1.590 -5.126 1.520
-4.696 -0.581 2.953
Pb Ge
4 1
direct
0.000 0.000 0.000
0.500 0.000 0.500
0.000 0.500 0.500
0.500 0.500 0.000
0.500 0.500 0.500
```

Output
ΔE_f in eV/atom: 0.404

---

Record 2
A relaxed structure of NaSm2N, computed with PBE.

Structure (POSCAR):
```
NaSm2N
1.0
-2.754 2.231 0.302
-3.300 -1.148 -0.665
-3.050 -2.205 9.424
Na Sm N
1 2 1
direct
0.000 0.000 0.000
0.121 0.121 0.636
0.879 0.879 0.364
0.500 0.500 0.500
```

Output
Energy relative to the elements, uncorrected in eV per atom: -0.61

---

Record 3
A relaxed structure of NbCdCuPb2, computed with PBE.

Structure (POSCAR):
```
NbCdCuPb2
1.0
-0.713 5.515 -0.122
-1.665 -0.117 4.446
5.160 0.711 1.951
Pb Nb Cu Cd
2 1 1 1
direct
0.000 0.000 0.500
0.500 0.000 0.000
0.500 0.500 0.500
0.000 0.500 0.000
0.000 0.000 0.000
```

Output
ΔE_f in eV/atom: 1.240

---

| no. | spin magnetization (μB per formula unit) | electronic total energy (eV per formula unit) |
| --- | --- | --- |
| 1 | 0.00 | -17.431 |
| 2 | 0.00 | -21.503 |
| 3 | 2.96 | -16.296 |